# 1
# Nd2Zn5Au12 (PBE, optimized geometry)
data_Nd2Zn5Au12
_chemical_formula_sum 'Nd6 Zn15 Au36'
_symmetry_space_group_name_H-M 'R -3 m'
_symmetry_Int_Tables_number 166
_symmetry_space_group_name_Hall '-R 3 2"'
_cell_length_a 9.3864
_cell_length_b 9.3864
_cell_length_c 14.2881
_cell_angle_alpha 90.00
_cell_angle_beta 90.00
_cell_angle_gamma 120.00
loop_
_atom_site_label
_atom_site_type_symbol
_atom_site_fract_x
_atom_site_fract_y
_atom_site_fract_z
Nd1 Nd 0.0000 0.0000 0.1480
Zn1 Zn 0.0000 0.0000 0.4034
Zn2 Zn 0.0000 0.5000 0.0000
Au1 Au 0.0000 0.3050 0.5000
Au2 Au 0.0153 0.5076 0.3484
# Magnetic moment (μB/f.u.): 0.00
# V (Å³ per cell): 1090.18
# DFT total energy (eV/atom): -3.26

***

# 2
# RbRuAuCl6 (PBE, optimized geometry)
data_RbRuAuCl6
_chemical_formula_sum 'Rb1 Ru1 Au1 Cl6'
_symmetry_space_group_name_H-M 'P 3 1 2'
_symmetry_Int_Tables_number 149
_cell_length_a 6.7343
_cell_length_b 6.7343
_cell_length_c 7.1226
_cell_angle_alpha 90.00
_cell_angle_beta 90.00
_cell_angle_gamma 120.00
loop_
_symmetry_equiv_pos_as_xyz
'x,y,z'
'-y,x-y,z'
'-x+y,-x,z'
'-y,-x,-z'
'-x+y,y,-z'
'x,x-y,-z'
loop_
_atom_site_label
_atom_site_type_symbol
_atom_site_fract_x
_atom_site_fract_y
_atom_site_fract_z
Rb1 Rb 0.0000 0.0000 0.0000
Ru1 Ru 0.3333 0.6667 0.5000
Au1 Au 0.6667 0.3333 0.5000
Cl1 Cl 0.0384 0.3851 0.6869
# Magnetic moment (μB/f.u.): 2.11
# V (Å³ per cell): 279.67
# ΔE_f (raw) (meV per atom): -715

***

# 3
# CsSm2Tl2O6 (PBE, optimized geometry)
data_CsSm2Tl2O6
_chemical_formula_sum 'Cs1 Sm2 Tl2 O6'
_symmetry_space_group_name_H-M 'P -1'
_symmetry_Int_Tables_number 2
_cell_length_a 6.249
_cell_length_b 6.596
_cell_length_c 6.600
_cell_angle_alpha 63.46
_cell_angle_beta 72.84
_cell_angle_gamma 72.88
loop_
_symmetry_equiv_pos_as_xyz
'x,y,z'
'-x,-y,-z'
loop_
_atom_site_label
_atom_site_type_symbol
_atom_site_fract_x
_atom_site_fract_y
_atom_site_fract_z
Cs1 Cs 0.000 0.000 0.000
Sm1 Sm 0.043 0.326 0.325
Tl1 Tl 0.500 0.265 0.735
O1 O 0.200 0.935 0.408
O2 O 0.202 0.411 0.935
O3 O 0.254 0.456 0.457
# Magnetic moment (μB/f.u.): 0.00
# V (Å³ per cell): 228.30
# ΔE_f (raw) (meV per atom): -1859

***

# 4
# PmYTmAg (PBE, optimized geometry)
data_PmYTmAg
_chemical_formula_sum 'Pm1 Y1 Tm1 Ag1'
_symmetry_space_group_name_H-M 'P 4 m m'
_symmetry_Int_Tables_number 99
_cell_length_a 3.597
_cell_length_b 3.597
_cell_length_c 8.788
_cell_angle_alpha 90.00
_cell_angle_beta 90.00
_cell_angle_gamma 90.00
loop_
_symmetry_equiv_pos_as_xyz
'x,y,z'
'-y,x,z'
'-x,-y,z'
'y,-x,z'
'-x,y,z'
'y,x,z'
'x,-y,z'
'-y,-x,z'
loop_
_atom_site_label
_atom_site_type_symbol
_atom_site_fract_x
_atom_site_fract_y
_atom_site_fract_z
Pm1 Pm 0.000 0.000 0.000
Y1 Y 0.500 0.500 0.704
Tm1 Tm 0.500 0.500 0.289
Ag1 Ag 0.000 0.000 0.487
# Magnetic moment (μB/f.u.): 0.00
# V (Å³ per cell): 113.69
# Relative energy among the computed polymorphs (eV per formula unit): 0.000

***

# 5
# Zn2CuCl (PBE, optimized geometry)
data_Zn2CuCl
_chemical_formula_sum 'Zn4 Cu2 Cl2'
_symmetry_space_group_name_H-M 'C m m m'
_symmetry_Int_Tables_number 65
_symmetry_space_group_name_Hall '-C 2 2'
_cell_length_a 5.216
_cell_length_b 8.005
_cell_length_c 3.137
_cell_angle_alpha 90.00
_cell_angle_beta 90.00
_cell_angle_gamma 90.00
loop_
_atom_site_label
_atom_site_type_symbol
_atom_site_fract_x
_atom_site_fract_y
_atom_site_fract_z
Zn1 Zn 0.250 0.250 0.000
Cu1 Cu 0.000 0.000 0.500
Cl1 Cl 0.000 0.500 0.500
# Magnetic moment (μB/f.u.): 0.00
# V (Å³ per cell): 130.99
# Relative energy among the computed polymorphs (eV per formula unit): 0.613
# ΔE_f (raw) (meV per atom): 50

***

# 6
# ErPa2Re9 (PBE, optimized geometry)
data_ErPa2Re9
_chemical_formula_sum 'Er3 Pa6 Re27'
_symmetry_space_group_name_H-M 'R -3 m'
_symmetry_Int_Tables_number 166
_symmetry_space_group_name_Hall '-R 3 2"'
_cell_length_a 5.2542
_cell_length_b 5.2542
_cell_length_c 27.5525
_cell_angle_alpha 90.00
_cell_angle_beta 90.00
_cell_angle_gamma 120.00
loop_
_atom_site_label
_atom_site_type_symbol
_atom_site_fract_x
_atom_site_fract_y
_atom_site_fract_z
Er1 Er 0.0000 0.0000 0.0000
Pa1 Pa 0.0000 0.0000 0.1468
Re1 Re 0.0000 0.0000 0.3352
Re2 Re 0.0000 0.0000 0.5000
Re3 Re 0.0044 0.5022 0.9180
# Magnetic moment (μB/f.u.): 0.00
# V (Å³ per cell): 658.72
# DFT total energy (eV/atom): -11.36

***

# 7
# La6NiAg2 (PBE, optimized geometry)
data_La6NiAg2
_chemical_formula_sum 'La12 Ni2 Ag4'
_symmetry_space_group_name_H-M 'P 1 21/c 1'
_symmetry_Int_Tables_number 14
_cell_length_a 6.615
_cell_length_b 7.912
_cell_length_c 12.293
_cell_angle_alpha 90.00
_cell_angle_beta 119.02
_cell_angle_gamma 90.00
loop_
_symmetry_equiv_pos_as_xyz
'x,y,z'
'-x,-y,-z'
'-x,y+1/2,-z+1/2'
'x,-y+1/2,z+1/2'
loop_
_atom_site_label
_atom_site_type_symbol
_atom_site_fract_x
_atom_site_fract_y
_atom_site_fract_z
La1 La 0.112 0.201 0.449
La2 La 0.302 0.666 0.455
La3 La 0.383 0.033 0.250
Ni1 Ni 0.500 0.000 0.500
Ag1 Ag 0.145 0.107 0.731
# Magnetic moment (μB/f.u.): 0.00
# V (Å³ per cell): 562.62
# Relative energy among the computed polymorphs (eV per formula unit): 0.000

***

# 8
# TeSe4I4 (PBE, optimized geometry)
data_TeSe4I4
_chemical_formula_sum 'Te2 Se8 I8'
_symmetry_space_group_name_H-M 'P 1 2/c 1'
_symmetry_Int_Tables_number 13
_cell_length_a 9.686
_cell_length_b 9.353
_cell_length_c 10.541
_cell_angle_alpha 90.00
_cell_angle_beta 120.83
_cell_angle_gamma 90.00
loop_
_symmetry_equiv_pos_as_xyz
'x,y,z'
'-x,-y,-z'
'-x,y,-z+1/2'
'x,-y,z+1/2'
loop_
_atom_site_label
_atom_site_type_symbol
_atom_site_fract_x
_atom_site_fract_y
_atom_site_fract_z
Te1 Te 0.000 0.138 0.250
Se1 Se 0.105 0.031 0.626
Se2 Se 0.426 0.434 0.035
I1 I 0.023 0.357 0.554
I2 I 0.456 0.157 0.969
# Magnetic moment (μB/f.u.): 0.00
# V (Å³ per cell): 820.03
# ΔE_f (raw) (meV per atom): 104